Compound: ZrSiBr2
Source: Alexandria via LeMat-Bulk
Functional: PBE
Structure: relaxed

Geometry as POSCAR:
```
ZrSiBr2
1.0
-1.012 0.895 4.999
0.889 -1.811 4.769
6.241 4.242 1.660
Br Si Zr
2 1 1
direct
0.914 0.914 0.086
0.712 0.712 0.650
0.571 0.571 0.417
0.302 0.302 0.347
```

Summary:
Electronic total energy in eV/atom: -4.86
Formation energy without anion corrections in kJ/mol of formula units: -205
Symmetry: Cm, No. 8
Energy above the most stable polymorph in this dataset in eV/atom: 0.141